1.
NdYS2 | PBE | relaxed

Calculated values
magnetic moment	0.0	μB per cell
total energy	-0.5045	Ry per atom
crystal system	tetragonal

abc: 3.9943 3.9943 5.6499
angles: 90.00 90.00 90.00
Space group P4/mmm (No. 123)
Unique sites:
1 Nd 0.0000 0.0000 0.0000 (multiplicity 1)
2 Y 0.5000 0.5000 0.5000 (multiplicity 1)
3 S 0.0000 0.0000 0.5000 (multiplicity 1)
4 S 0.5000 0.5000 0.0000 (multiplicity 1)



2.
Nd2ZrS5 | PBE | relaxed

Calculated values
magnetic moment	0.0	μB per cell
total energy	-0.4949	Ry per atom
crystal system	orthorhombic

abc: 11.6388 8.0189 7.3909
angles: 90.00 90.00 90.00
Space group Pnma (No. 62)
Unique sites:
1 Nd 0.1763 0.0013 0.0361 (multiplicity 8)
2 Zr 0.0086 0.7500 0.5762 (multiplicity 4)
3 S 0.0040 0.7500 0.9450 (multiplicity 4)
4 S 0.0855 0.0363 0.6666 (multiplicity 8)
5 S 0.1853 0.7500 0.3428 (multiplicity 4)
6 S 0.2072 0.2500 0.3221 (multiplicity 4)



3.
NdSb2 | PBE | relaxed

Calculated values
magnetic moment	0.0	μB per cell
total energy	-0.3440	Ry per atom
crystal system	cubic

abc: 7.4640 7.4640 7.4640
angles: 90.00 90.00 90.00
Space group Fm-3m (No. 225)
Unique sites:
1 Nd 0.0000 0.0000 0.0000 (multiplicity 4)
2 Sb 0.2500 0.2500 0.2500 (multiplicity 8)



4.
Nd5Sb3 | PBE | relaxed

Calculated values
magnetic moment	0.0	μB per cell
total energy	-0.4041	Ry per atom
crystal system	hexagonal

abc: 9.3360 9.3360 6.5163
angles: 90.00 90.00 120.00
Space group P6_3/mcm (No. 193)
Unique sites:
1 Nd 0.0000 0.2500 0.2500 (multiplicity 6)
2 Nd 0.3333 0.6667 0.0000 (multiplicity 4)
3 Sb 0.0000 0.3864 0.7500 (multiplicity 6)



5.
NdSb2 | PBE | relaxed

Calculated values
magnetic moment	2.9	μB per cell
total energy	-0.3397	Ry per atom
crystal system	cubic

abc: 8.9163 8.9163 8.9163
angles: 90.00 90.00 90.00
Space group Fd-3m (No. 227, origin choice 2)
Unique sites:
1 Nd 0.1250 0.1250 0.1250 (multiplicity 8)
2 Sb 0.0000 0.0000 0.5000 (multiplicity 16)



6.
Nd2Sb | PBE | relaxed

Calculated values
magnetic moment	0.1	μB per cell
total energy	-0.3828	Ry per atom
crystal system	cubic

abc: 7.4171 7.4171 7.4171
angles: 90.00 90.00 90.00
Space group Fm-3m (No. 225)
Unique sites:
1 Nd 0.2500 0.2500 0.2500 (multiplicity 8)
2 Sb 0.0000 0.0000 0.0000 (multiplicity 4)



7.
Nd2Sb | PBE | relaxed

Calculated values
magnetic moment	0.2	μB per cell
total energy	-0.3918	Ry per atom
crystal system	orthorhombic

abc: 6.9958 4.9496 10.4853
angles: 90.00 90.00 90.00
Space group Pnma (No. 62)
Unique sites:
1 Nd 0.0841 0.2500 0.2067 (multiplicity 4)
2 Nd 0.1614 0.2500 0.5538 (multiplicity 4)
3 Sb 0.1922 0.2500 0.8751 (multiplicity 4)



8.
Nd2Sb | PBE | relaxed

Calculated values
magnetic moment	0.0	μB per cell
total energy	-0.3448	Ry per atom
crystal system	cubic

abc: 9.0248 9.0248 9.0248
angles: 90.00 90.00 90.00
Space group Fd-3m (No. 227, origin choice 2)
Unique sites:
1 Nd 0.0000 0.0000 0.0000 (multiplicity 16)
2 Sb 0.1250 0.1250 0.6250 (multiplicity 8)



9.
NdSmSc2Sb2 | PBE | relaxed

Calculated values
magnetic moment	1.8	μB per cell
total energy	-0.4356	Ry per atom
crystal system	tetragonal

abc: 4.4348 4.4348 16.4885
angles: 90.00 90.00 90.00
Space group I4mm (No. 107)
Unique sites:
1 Nd 0.0000 0.0000 0.0000 (multiplicity 2)
2 Sm 0.0000 0.0000 0.3511 (multiplicity 2)
3 Sc 0.0000 0.5000 0.1766 (multiplicity 4)
4 Sb 0.0000 0.0000 0.5494 (multiplicity 2)
5 Sb 0.0000 0.0000 0.8028 (multiplicity 2)



10.
NdYSc2Sb2 | PBE | relaxed

Calculated values
magnetic moment	1.9	μB per cell
total energy	-0.4565	Ry per atom
crystal system	tetragonal

abc: 4.3963 4.3963 16.4399
angles: 90.00 90.00 90.00
Space group I4mm (No. 107)
Unique sites:
1 Nd 0.0000 0.0000 0.0000 (multiplicity 2)
2 Y 0.0000 0.0000 0.3522 (multiplicity 2)
3 Sc 0.0000 0.5000 0.1768 (multiplicity 4)
4 Sb 0.0000 0.0000 0.5471 (multiplicity 2)
5 Sb 0.0000 0.0000 0.8055 (multiplicity 2)